# PrSm12Al4O3, optimized geometry, DFT PBE
# Raw formation energy   -0.68 eV per atom
# Total energy   -104.90 eV/f.u.
data_PrSm12Al4O3
_chemical_formula_sum 'Pr2 Sm24 Al8 O6'
_space_group_name_H-M_alt 'I m -3 m'
_space_group_IT_number 229
_space_group_name_Hall '-I 4 2 3'
_cell_length_a 10.035
_cell_length_b 10.035
_cell_length_c 10.035
_cell_angle_alpha 90.00
_cell_angle_beta 90.00
_cell_angle_gamma 90.00
loop_
_atom_site_label
_atom_site_type_symbol
_atom_site_fract_x
_atom_site_fract_y
_atom_site_fract_z
Pr1 Pr 0.000 0.000 0.000
Sm1 Sm 0.000 0.000 0.273
Sm2 Sm 0.000 0.250 0.500
Al1 Al 0.250 0.250 0.250
O1 O 0.000 0.000 0.500